No. 1
Material: Ag2Hg2O5
Method: DFT, PBE
State: optimized geometry

Values from the calculation:
DFT total energy ... -3.2246 eV per atom
Space-group type ... P4/mmm
V ... 14.5 Å³ per atom

Cell lengths 8.673, 3.883, 3.883 Å; angles 90.00, 90.00, 90.00 degrees
Atoms (fractional coordinates):
O  0.830  0.000  0.500
Hg  0.500  0.000  0.000
O  0.500  0.500  0.500
O  0.170  0.500  0.000
O  0.170  0.000  0.500
Ag  0.762  0.500  0.500
Hg  0.000  0.000  0.000
O  0.830  0.500  0.000
Ag  0.238  0.500  0.500


No. 2
Material: Li3CoH6
Method: DFT, PBE
State: optimized geometry

Values from the calculation:
DFT total energy ... -3.6057 eV per atom
Space-group type ... Fm-3m
Total magnetization ... 0.0 μB per cell
V ... 6.8 Å³ per atom

Cell lengths 4.584, 4.584, 4.584 Å; angles 60.00, 60.00, 60.00 degrees
Atoms (fractional coordinates):
H  0.767  0.233  0.233
H  0.233  0.233  0.767
Co  0.000  0.000  0.000
H  0.767  0.233  0.767
H  0.233  0.767  0.233
H  0.767  0.767  0.233
Li  0.750  0.750  0.750
Li  0.250  0.250  0.250
H  0.233  0.767  0.767
Li  0.500  0.500  0.500


No. 3
Material: YLuZr
Method: DFT, PBE
State: optimized geometry

Values from the calculation:
DFT total energy ... -5.7043 eV per atom
E_form ... 0.808 eV per atom
Space-group type ... F-43m
Total magnetization ... 1.2 μB per cell
V ... 33.0 Å³ per atom

Cell lengths 5.194, 5.194, 5.194 Å; angles 60.00, 60.00, 60.00 degrees
Atoms (fractional coordinates):
Lu  0.250  0.250  0.250
Zr  0.000  0.000  0.000
Y  0.750  0.750  0.750


No. 4
Material: NaLaAlAu
Method: DFT, PBE
State: optimized geometry

Values from the calculation:
DFT total energy ... -3.6108 eV per atom
Space-group type ... F-43m
Total magnetization ... 0.0 μB per cell
V ... 24.6 Å³ per atom

Cell lengths 5.179, 5.179, 5.179 Å; angles 60.00, 60.00, 60.00 degrees
Atoms (fractional coordinates):
Au  0.750  0.750  0.750
Na  0.000  0.000  0.000
La  0.500  0.500  0.500
Al  0.250  0.250  0.250


No. 5
Material: CsReHg
Method: DFT, PBE
State: optimized geometry

Values from the calculation:
DFT total energy ... -2.6225 eV per atom
Space-group type ... F-43m
Total magnetization ... 3.7 μB per cell
V ... 34.2 Å³ per atom

Cell lengths 5.253, 5.253, 5.253 Å; angles 60.00, 60.00, 60.00 degrees
Atoms (fractional coordinates):
Cs  0.250  0.250  0.250
Hg  0.750  0.750  0.750
Re  0.000  0.000  0.000


No. 6
Material: Li4Al2GaPd
Method: DFT, PBE
State: optimized geometry

Values from the calculation:
DFT total energy ... -3.3455 eV per atom
Space-group type ... P-4m2
V ... 14.5 Å³ per atom

Cell lengths 4.324, 4.324, 6.216 Å; angles 90.00, 90.00, 90.00 degrees
Atoms (fractional coordinates):
Li  0.500  0.500  0.000
Pd  0.000  0.000  0.000
Li  0.000  0.000  0.500
Ga  0.500  0.500  0.500
Al  0.000  0.500  0.765
Al  0.500  0.000  0.235
Li  0.500  0.000  0.752
Li  0.000  0.500  0.248